Ta2OsPb: relaxed, PBE-GGA.

abc: 4.0477 4.0477 10.1982
angles: 78.55 78.55 90.00
Last column: nearest neighbours and their distance in Å.
Positions (direct):
Pb: 0.0000 0.0000 0.0000  4 Ta 2.84, 4 Os 2.86
Pb: 0.7500 0.2500 0.5000  4 Ta 2.84, 4 Os 2.86
Os: 0.5000 0.5000 0.0000  4 Ta 2.83, 4 Pb 2.86
Os: 0.2500 0.7500 0.5000  4 Ta 2.83, 4 Pb 2.86
Ta: 0.6232 0.1250 0.2500  2 Os 2.83, 2 Pb 2.84, 4 Ta 2.85-2.87
Ta: 0.1268 0.6250 0.2500  2 Os 2.83, 2 Pb 2.84, 4 Ta 2.85-2.87
Ta: 0.3750 0.3768 0.7500  2 Os 2.83, 2 Pb 2.84, 4 Ta 2.85-2.87
Ta: 0.8750 0.8732 0.7500  2 Os 2.83, 2 Pb 2.84, 4 Ta 2.85-2.87

## Properties
Energy relative to the elements ... 954 meV/atom
Crystal system ... tetragonal

SrCeMg14: relaxed, PBE-GGA.

abc: 6.7276 6.7276 10.4598
angles: 90.00 90.00 120.00
Last column: nearest neighbours and their distance in Å.
Positions (direct):
Sr: 0.0000 0.0000 0.5000  12 Mg 3.34-3.36
Ce: 0.0000 0.0000 0.0000  12 Mg 3.27-3.36
Mg: 0.0092 0.5046 0.0000  10 Mg 3.18-3.46, 2 Ce 3.36
Mg: 0.0106 0.5053 0.5000  10 Mg 3.26-3.47, 2 Sr 3.36
Mg: 0.4954 0.9908 0.0000  10 Mg 3.18-3.46, 2 Ce 3.36
Mg: 0.4947 0.9894 0.5000  10 Mg 3.26-3.47, 2 Sr 3.36
Mg: 0.4954 0.5046 0.0000  10 Mg 3.18-3.46, 2 Ce 3.36
Mg: 0.4947 0.5053 0.5000  10 Mg 3.26-3.47, 2 Sr 3.36
Mg: 0.1736 0.8264 0.2453  10 Mg 3.18-3.50, 1 Ce 3.27, 1 Sr 3.34
Mg: 0.1736 0.8264 0.7547  10 Mg 3.18-3.50, 1 Ce 3.27, 1 Sr 3.34
Mg: 0.1736 0.3472 0.2453  10 Mg 3.18-3.50, 1 Ce 3.27, 1 Sr 3.34
Mg: 0.1736 0.3472 0.7547  10 Mg 3.18-3.50, 1 Ce 3.27, 1 Sr 3.34
Mg: 0.6528 0.8264 0.2453  10 Mg 3.18-3.50, 1 Ce 3.27, 1 Sr 3.34
Mg: 0.6528 0.8264 0.7547  10 Mg 3.18-3.50, 1 Ce 3.27, 1 Sr 3.34
Mg: 0.6667 0.3333 0.2476  12 Mg 3.27-3.36
Mg: 0.6667 0.3333 0.7524  12 Mg 3.27-3.36

## Properties
Energy relative to the elements ... 56 meV/atom
Relative energy among the computed polymorphs ... 0 meV per atom
Crystal system ... hexagonal

Ga4Cu4Pd: relaxed, PBE-GGA.

abc: 3.8427 6.0577 6.0577
angles: 84.23 71.51 71.51
Last column: nearest neighbours and their distance in Å.
Positions (direct):
Ga: 0.6806 0.3194 0.3195  1 Pd 2.60, 6 Cu 2.66-2.67, 4 Ga 2.83
Ga: 0.3194 0.6806 0.6805  1 Pd 2.60, 6 Cu 2.66-2.67, 4 Ga 2.83
Ga: 0.0000 0.6805 0.3194  1 Pd 2.60, 6 Cu 2.66-2.67, 4 Ga 2.83
Ga: 0.0000 0.3195 0.6806  1 Pd 2.60, 6 Cu 2.66-2.67, 4 Ga 2.83
Cu: 0.6710 0.6581 0.0000  4 Cu 2.64-2.78, 6 Ga 2.66-2.67, 2 Pd 2.75
Cu: 0.3290 0.3419 0.0000  4 Cu 2.64-2.78, 6 Ga 2.66-2.67, 2 Pd 2.75
Cu: 0.6710 0.0000 0.6581  4 Cu 2.64-2.78, 6 Ga 2.66-2.67, 2 Pd 2.75
Cu: 0.3290 0.0000 0.3419  4 Cu 2.64-2.78, 6 Ga 2.66-2.67, 2 Pd 2.75
Pd: 0.0000 0.0000 0.0000  4 Ga 2.60, 8 Cu 2.75

## Properties
Energy relative to the elements ... -143 meV/atom
Crystal system ... tetragonal

Rb3PbN: relaxed, PBE-GGA.

abc: 5.8829 5.8829 5.8829
angles: 90.00 90.00 90.00
Last column: nearest neighbours and their distance in Å.
Positions (direct):
Pb: 0.5000 0.5000 0.5000  12 Rb 4.16
Rb: 0.0000 0.5000 0.0000  2 N 2.94
Rb: 0.0000 0.0000 0.5000  2 N 2.94
Rb: 0.5000 0.0000 0.0000  2 N 2.94
N: 0.0000 0.0000 0.0000  6 Rb 2.94

## Properties
Formation energy without anion corrections ... 0.66 eV per atom
Relative energy among the computed polymorphs ... 0 meV per atom
Crystal system ... cubic

LiTaN: relaxed, PBE-GGA.

abc: 3.5493 3.5493 8.5257
angles: 77.99 77.99 60.00
Last column: nearest neighbours and their distance in Å.
Positions (direct):
N: 0.2849 0.2849 0.1453  1 Li 2.04, 4 Ta 2.06-2.23
N: 0.7151 0.7151 0.8547  1 Li 2.04, 4 Ta 2.06-2.23
Ta: 0.3747 0.3747 0.8759  4 N 2.06-2.23
Ta: 0.6253 0.6253 0.1241  4 N 2.06-2.23
Li: 0.7971 0.7971 0.6087  1 N 2.04
Li: 0.2029 0.2029 0.3913  1 N 2.04

## Properties
Formation energy without anion corrections ... -0.49 eV per atom
Relative energy among the computed polymorphs ... 199 meV per atom
Crystal system ... trigonal

CeTlSn4: relaxed, PBE-GGA.

abc: 6.2500 6.2500 6.2500
angles: 60.00 60.00 60.00
Last column: nearest neighbours and their distance in Å.
Positions (direct):
Tl: 0.0000 0.0000 0.0000  12 Sn 3.66, 4 Ce 3.83
Sn: 0.6250 0.6250 0.1251  6 Sn 3.12-3.13
Sn: 0.6250 0.1251 0.6250  6 Sn 3.12-3.13
Sn: 0.6250 0.6250 0.6250  6 Sn 3.12-3.13
Sn: 0.1251 0.6250 0.6250  6 Sn 3.12-3.13
Ce: 0.2500 0.2500 0.2500  12 Sn 3.66, 4 Tl 3.83

## Properties
Energy relative to the elements ... -167 meV/atom
Crystal system ... cubic

KPd2F5: relaxed, PBE-GGA.

abc: 6.3303 7.5770 10.8681
angles: 90.00 90.00 90.00
Last column: nearest neighbours and their distance in Å.
Positions (direct):
K: 0.0119 0.2500 0.3733  8 F 2.77-3.01
K: 0.5119 0.2500 0.1267  8 F 2.77-3.01
K: 0.9881 0.7500 0.6267  8 F 2.77-3.01
K: 0.4881 0.7500 0.8733  8 F 2.77-3.01
Pd: 0.5000 0.0000 0.5000  6 F 2.19-2.21
Pd: 0.0000 0.5000 0.0000  6 F 2.19-2.21
Pd: 0.5000 0.5000 0.5000  6 F 2.19-2.21
Pd: 0.0000 0.0000 0.0000  6 F 2.19-2.21
Pd: 0.1995 0.2500 0.7193  4 F 2.00-2.01
Pd: 0.6995 0.2500 0.7807  4 F 2.00-2.01
Pd: 0.8005 0.7500 0.2807  4 F 2.00-2.01
Pd: 0.3005 0.7500 0.2193  4 F 2.00-2.01
F: 0.7115 0.0566 0.6550  2 Pd 2.00-2.19
F: 0.2115 0.4434 0.8450  2 Pd 2.00-2.19
F: 0.2885 0.5566 0.3450  2 Pd 2.00-2.19
F: 0.7885 0.9434 0.1550  2 Pd 2.00-2.19
F: 0.2885 0.9434 0.3450  2 Pd 2.00-2.19
F: 0.7885 0.5566 0.1550  2 Pd 2.00-2.19
F: 0.7115 0.4434 0.6550  2 Pd 2.00-2.19
F: 0.2115 0.0566 0.8450  2 Pd 2.00-2.19
F: 0.8064 0.9328 0.4141  2 Pd 2.01-2.21
F: 0.3064 0.5672 0.0859  2 Pd 2.01-2.21
F: 0.1936 0.4328 0.5859  2 Pd 2.01-2.21
F: 0.6936 0.0672 0.9141  2 Pd 2.01-2.21
F: 0.0436 0.2500 0.0969  2 Pd 2.19
F: 0.5436 0.2500 0.4031  2 Pd 2.19
F: 0.9564 0.7500 0.9031  2 Pd 2.19
F: 0.4564 0.7500 0.5969  2 Pd 2.19
F: 0.3064 0.9328 0.0859  2 Pd 2.01-2.21
F: 0.8064 0.5672 0.4141  2 Pd 2.01-2.21
F: 0.6936 0.4328 0.9141  2 Pd 2.01-2.21
F: 0.1936 0.0672 0.5859  2 Pd 2.01-2.21

## Properties
Formation energy without anion corrections ... -1.61 eV per atom
Relative energy among the computed polymorphs ... 0 meV per atom
Crystal system ... orthorhombic

P2OsPtO: relaxed, PBE-GGA.

abc: 4.7394 4.7394 3.6226
angles: 90.00 90.00 90.00
Last column: nearest neighbours and their distance in Å.
Positions (direct):
P: 0.0000 0.5000 0.0000  2 Pt 2.37
P: 0.5000 0.0000 0.0000  2 Pt 2.37
Os: 0.5000 0.5000 0.5000  8 P 2.98
O: 0.0000 0.0000 0.5000  2 Pt 1.81
Pt: 0.0000 0.0000 0.0000  2 O 1.81

## Properties
Formation energy without anion corrections ... 1.05 eV per atom
Relative energy among the computed polymorphs ... 837 meV per atom
Crystal system ... tetragonal

LiHg2Os: relaxed, PBE-GGA.

abc: 4.8351 4.8351 5.6309
angles: 83.72 83.72 33.44
Last column: nearest neighbours and their distance in Å.
Positions (direct):
Hg: 0.9959 0.9959 0.9988  2 Hg 2.78, 3 Li 2.81-2.95, 3 Os 2.88-2.90
Hg: 0.5041 0.5041 0.5012  2 Hg 2.78, 3 Li 2.81-2.95, 3 Os 2.88-2.90
Li: 0.7500 0.7500 0.7500  2 Li 2.78, 6 Hg 2.81-2.95
Os: 0.2500 0.2500 0.2500  2 Os 2.78, 6 Hg 2.88-2.90

## Properties
Energy relative to the elements ... 480 meV/atom
Relative energy among the computed polymorphs ... 177 meV per atom
Crystal system ... monoclinic

Pr3In3Sn2: relaxed, PBE-GGA.

abc: 4.6989 6.4430 16.4034
angles: 90.00 90.00 111.39
Last column: nearest neighbours and their distance in Å.
Positions (direct):
Pr: 0.9405 0.8809 0.3876  6 In 3.29-3.47, 3 Sn 3.45-3.48
Pr: 0.0595 0.1191 0.8876  6 In 3.29-3.47, 3 Sn 3.45-3.48
Pr: 0.9405 0.8809 0.1124  6 In 3.29-3.47, 3 Sn 3.45-3.48
Pr: 0.0595 0.1191 0.6124  6 In 3.29-3.47, 3 Sn 3.45-3.48
Pr: 0.6680 0.3360 0.2500  3 In 3.19-3.54, 4 Sn 3.31
Pr: 0.3320 0.6640 0.7500  3 In 3.19-3.54, 4 Sn 3.31
In: 0.6191 0.2381 0.4629  3 Sn 3.00-3.09, 1 In 3.10
In: 0.3809 0.7619 0.9629  3 Sn 3.00-3.09, 1 In 3.10
In: 0.6191 0.2381 0.0371  3 Sn 3.00-3.09, 1 In 3.10
In: 0.3809 0.7619 0.5371  3 Sn 3.00-3.09, 1 In 3.10
In: 0.4021 0.8042 0.2500  2 Sn 3.02, 5 Pr 3.19-3.29
In: 0.5979 0.1958 0.7500  2 Sn 3.02, 5 Pr 3.19-3.29
Sn: 0.7696 0.5392 0.8842  4 In 3.00-3.09, 2 Pr 3.31
Sn: 0.2304 0.4608 0.3842  4 In 3.00-3.09, 2 Pr 3.31
Sn: 0.7696 0.5392 0.6158  4 In 3.00-3.09, 2 Pr 3.31
Sn: 0.2304 0.4608 0.1158  4 In 3.00-3.09, 2 Pr 3.31

## Properties
Energy relative to the elements ... -538 meV/atom
Crystal system ... orthorhombic

YCd2Au: relaxed, PBE-GGA.

abc: 8.8582 8.8582 8.8582
angles: 23.97 23.97 23.97
Last column: nearest neighbours and their distance in Å.
Positions (direct):
Au: 0.7500 0.7500 0.7500  6 Cd 2.84
Cd: 0.0105 0.0105 0.0105  3 Au 2.84
Cd: 0.4895 0.4895 0.4895  3 Au 2.84
Y: 0.2500 0.2500 0.2500  6 Cd 3.22

## Properties
Energy relative to the elements ... -138 meV/atom
Crystal system ... trigonal

LiNb2ZnN: relaxed, PBE-GGA.

abc: 4.2208 4.2208 3.9558
angles: 90.00 90.00 90.00
Last column: nearest neighbours and their distance in Å.
Positions (direct):
Nb: 0.0000 0.5000 0.0000  2 N 2.11
Nb: 0.5000 0.0000 0.0000  2 N 2.11
Li: 0.0000 0.0000 0.5000  2 N 1.98
Zn: 0.5000 0.5000 0.5000  8 Nb 2.89, 4 Li 2.98
N: 0.0000 0.0000 0.0000  2 Li 1.98, 4 Nb 2.11

## Properties
Formation energy without anion corrections ... -0.41 eV per atom
Crystal system ... tetragonal

BaLa3S: relaxed, PBE-GGA.

abc: 5.8810 5.8810 5.8810
angles: 90.00 90.00 90.00
Last column: nearest neighbours and their distance in Å.
Positions (direct):
S: 0.5000 0.5000 0.5000  12 La 4.16
Ba: 0.0000 0.0000 0.0000  6 La 2.94
La: 0.0000 0.5000 0.0000  2 Ba 2.94
La: 0.0000 0.0000 0.5000  2 Ba 2.94
La: 0.5000 0.0000 0.0000  2 Ba 2.94

## Properties
Formation energy without anion corrections ... 0.79 eV per atom
Relative energy among the computed polymorphs ... 1473 meV per atom
Crystal system ... cubic

Na2LiTl5: relaxed, PBE-GGA.

abc: 6.6229 6.6232 6.6233
angles: 106.91 106.91 114.73
Last column: nearest neighbours and their distance in Å.
Positions (direct):
Na: 0.2777 0.7780 0.5000  8 Tl 3.31, 2 Na 3.57
Na: 0.7777 0.2780 0.5000  8 Tl 3.31, 2 Na 3.57
Li: 0.7786 0.7784 0.0000  10 Tl 3.31-3.58
Tl: 0.2781 0.2783 0.5006  2 Li 3.31, 4 Na 3.31, 4 Tl 3.31-3.57
Tl: 0.2784 0.7774 0.0000  2 Li 3.31, 4 Tl 3.31-3.57, 4 Na 3.31
Tl: 0.7778 0.2781 0.0000  4 Tl 3.31-3.57, 4 Na 3.31, 2 Li 3.31
Tl: 0.7775 0.7778 0.4994  2 Li 3.31, 4 Na 3.31, 4 Tl 3.31-3.57
Tl: 0.2773 0.2769 0.0000  8 Tl 3.31, 2 Li 3.56-3.58

## Properties
Energy relative to the elements ... -78 meV/atom
Relative energy among the computed polymorphs ... 0 meV per atom
Crystal system ... tetragonal

SmVIr: relaxed, PBE-GGA.

abc: 4.4528 4.1156 4.1156
angles: 120.00 90.00 90.00
Last column: nearest neighbours and their distance in Å.
Positions (direct):
Ir: 0.1461 0.0000 0.0000  3 V 2.38
Sm: 0.6723 0.3333 0.6667  6 Ir 3.18-3.34, 6 V 3.23-3.28
V: 0.1816 0.6667 0.3333  3 Ir 2.38

## Properties
Energy relative to the elements ... -302 meV/atom
Relative energy among the computed polymorphs ... 94 meV per atom
Crystal system ... trigonal

Ce2Th: relaxed, PBE-GGA.

abc: 4.0890 4.0890 5.8733
angles: 110.37 110.37 90.00
Last column: nearest neighbours and their distance in Å.
Positions (direct):
Ce: 0.3286 0.3286 0.6571  5 Ce 3.31-3.51, 5 Th 3.36-3.38
Ce: 0.6714 0.6714 0.3429  5 Ce 3.31-3.51, 5 Th 3.36-3.38
Th: 0.0000 0.0000 0.0000  10 Ce 3.36-3.38

## Properties
Energy relative to the elements ... 123 meV/atom
Relative energy among the computed polymorphs ... 102 meV per atom
Crystal system ... tetragonal

Sm2Se2F3: relaxed, PBE-GGA.

abc: 3.8190 5.7085 7.2947
angles: 115.50 90.00 109.54
Last column: nearest neighbours and their distance in Å.
Positions (direct):
Sm: 0.8386 0.6772 0.7684  5 F 2.34-2.61
Sm: 0.1614 0.3228 0.2316  5 F 2.34-2.61
Se: 0.8650 0.7300 0.2054  4 Sm 2.98-3.11, 3 F 3.16-3.20
Se: 0.1350 0.2700 0.7946  4 Sm 2.98-3.11, 3 F 3.16-3.20
F: 0.5000 0.0000 0.0000  4 Sm 2.61, 2 F 2.74
F: 0.6626 0.3253 0.4187  3 Sm 2.34-2.38, 2 F 2.56
F: 0.3374 0.6747 0.5813  3 Sm 2.34-2.38, 2 F 2.56

## Properties
Formation energy without anion corrections ... -2.81 eV per atom
Crystal system ... monoclinic

Number 1: size of the total moment 0.00 μB/f.u., density 15.7 Mg/m³, V 80.2 Å³/f.u.. Number 2: size of the total moment 1.17 μB/f.u., density 2.3 Mg/m³, V 410.0 Å³/f.u.. Number 3: size of the total moment 0.00 μB/f.u., density 8.4 Mg/m³, V 126.8 Å³/f.u.. Number 4: size of the total moment 0.00 μB/f.u., density 3.9 Mg/m³, V 203.6 Å³/f.u.. Number 5: size of the total moment 0.00 μB/f.u., density 7.4 Mg/m³, V 45.1 Å³/f.u.. Number 6: size of the total moment 1.21 μB/f.u., density 7.9 Mg/m³, V 172.6 Å³/f.u.. Number 7: size of the total moment 2.01 μB/f.u., density 4.4 Mg/m³, V 130.3 Å³/f.u.. Number 8: size of the total moment 0.13 μB/f.u., density 9.5 Mg/m³, V 81.4 Å³/f.u.. Number 9: size of the total moment 0.00 μB/f.u., density 13.8 Mg/m³, V 72.1 Å³/f.u.. Number 10: size of the total moment 0.00 μB/f.u., density 7.2 Mg/m³, V 231.2 Å³/f.u.. Number 11: size of the total moment 0.00 μB/f.u., density 8.4 Mg/m³, V 100.8 Å³/f.u.. Number 12: size of the total moment 0.00 μB/f.u., density 6.4 Mg/m³, V 70.5 Å³/f.u.. Number 13: size of the total moment 0.00 μB/f.u., density 4.8 Mg/m³, V 203.4 Å³/f.u.. Number 14: size of the total moment 0.00 μB/f.u., density 8.0 Mg/m³, V 222.2 Å³/f.u.. Number 15: size of the total moment 0.00 μB/f.u., density 10.0 Mg/m³, V 65.3 Å³/f.u.. Number 16: size of the total moment 0.00 μB/f.u., density 10.0 Mg/m³, V 85.5 Å³/f.u.. Number 17: size of the total moment 0.00 μB/f.u., density 6.4 Mg/m³, V 133.3 Å³/f.u..